(1)
Below is a relaxed K5I crystal, with properties calculated at the PBE-GGA level.

The structure belongs to space group Cmmm (No. 65); the cell edges are 4.897, 21.511 and 7.200 Å and the angles 90.00°, 90.00° and 90.00°. The asymmetric unit holds K at (0.000, 0.000, 0.000), K at (0.000, 0.129, 0.500), K at (0.000, 0.327, 0.000) and I at (0.000, 0.500, 0.500).

As for the total magnetization: 0.00 μB per cell. For the calculated total energy, the calculation gives -0.1136 Ry/atom. The value obtained for the uncorrected formation energy is -0.373 eV/atom.

---

(2)
Below is a relaxed Mg2CrHg crystal, with properties calculated at the PBE-GGA level.

The structure belongs to space group F-43m (No. 216); the cell edges are 6.752, 6.752 and 6.752 Å and the angles 90.00°, 90.00° and 90.00°. The asymmetric unit holds Mg at (0.000, 0.000, 0.000), Mg at (0.250, 0.250, 0.250), Cr at (0.000, 0.000, 0.500) and Hg at (0.250, 0.250, 0.750).

As for the total magnetization: 15.37 μB per cell. For the calculated total energy, the calculation gives -0.2302 Ry/atom. The value obtained for the formation energy is 146 meV per atom.

---

(3)
Below is a relaxed ThTi2N4 crystal, with properties calculated at the PBE-GGA level.

The structure belongs to space group Cmcm (No. 63); the cell edges are 3.167, 10.078 and 10.322 Å and the angles 90.00°, 90.00° and 90.00°. The asymmetric unit holds Th at (0.000, 0.108, 0.250), Ti at (0.000, 0.365, 0.063), N at (0.000, 0.000, 0.000), N at (0.000, 0.267, 0.609) and N at (0.000, 0.433, 0.250).

As for the total magnetization: 0.00 μB per cell. For the calculated total energy, the calculation gives -0.6996 Ry/atom. The value obtained for the uncorrected formation energy is -1.446 eV/atom.

---

(4)
Below is a relaxed Tb5Y2Sc crystal, with properties calculated at the PBE-GGA level.

The structure belongs to space group Pbam (No. 55); the cell edges are 7.056, 14.126 and 4.976 Å and the angles 90.00°, 90.00° and 90.00°. The asymmetric unit holds Tb at (0.000, 0.000, 0.000), Tb at (0.000, 0.252, 0.000), Tb at (0.248, 0.376, 0.500), Y at (0.249, 0.623, 0.500) and Sc at (0.000, 0.500, 0.000).

As for the total magnetization: 0.00 μB per cell. The polymorph energy (0 for the lowest one) comes out at 9 kJ/mol of formula units. For the calculated total energy, the calculation gives -0.3874 Ry/atom. The value obtained for the formation energy is 31 meV per atom.

---

(5)
Below is a relaxed SrPmInSi crystal, with properties calculated at the PBE-GGA level.

The structure belongs to space group F-43m (No. 216); the cell edges are 7.647, 7.647 and 7.647 Å and the angles 90.00°, 90.00° and 90.00°. The asymmetric unit holds Sr at (0.000, 0.000, 0.000), Pm at (0.000, 0.000, 0.500), In at (0.250, 0.250, 0.750) and Si at (0.250, 0.250, 0.250).

As for the total magnetization: 0.00 μB per cell. For the calculated total energy, the calculation gives -0.2884 Ry/atom. The value obtained for the uncorrected formation energy is -0.275 eV/atom.

---

(6)
Below is a relaxed Ta2VGe4 crystal, with properties calculated at the PBE-GGA level.

The structure belongs to space group C2/m (No. 12); the cell edges are 15.202, 3.451 and 4.964 Å and the angles 90.00°, 108.32° and 90.00°. The asymmetric unit holds Ta at (0.236, 0.000, 0.232), V at (0.000, 0.000, 0.000), Ge at (0.108, 0.500, 0.306) and Ge at (0.114, 0.000, 0.708).

As for the total magnetization: 3.12 μB per cell. The polymorph energy (0 for the lowest one) comes out at 0 kJ/mol of formula units. For the calculated total energy, the calculation gives -0.5387 Ry/atom. The value obtained for the formation energy is -2 meV per atom.

---

(7)
Below is a relaxed SnBr crystal, with properties calculated at the PBE-GGA level.

The structure belongs to space group P4/m (No. 83); the cell edges are 12.503, 12.503 and 3.704 Å and the angles 90.00°, 90.00° and 90.00°. The asymmetric unit holds Sn at (0.040, 0.208, 0.000), Sn at (0.367, 0.591, 0.500), Br at (0.090, 0.367, 0.500) and Br at (0.171, 0.715, 0.000).

As for the total magnetization: 0.00 μB per cell. For the calculated total energy, the calculation gives -0.2297 Ry/atom. The value obtained for the uncorrected formation energy is -0.287 eV/atom.

---

(8)
Below is a relaxed Tb3PmTm3 crystal, with properties calculated at the PBE-GGA level.

The structure belongs to space group R-3 (No. 148, hexagonal axes); the cell edges are 8.5931, 8.5931 and 21.6339 Å and the angles 90.00°, 90.00° and 120.00°. The asymmetric unit holds Tb at (0.0045, 0.2333, 0.0598), Pm at (0.0000, 0.0000, 0.3509) and Tm at (0.0577, 0.2733, 0.2126).

As for the total magnetization: 0.00 μB per cell. The polymorph energy (0 for the lowest one) comes out at 155 kJ/mol of formula units. For the calculated total energy, the calculation gives -0.3190 Ry/atom. The value obtained for the formation energy is 239 meV per atom.

---

(9)
Below is a relaxed Al2OsCl crystal, with properties calculated at the PBE-GGA level.

The structure belongs to space group C2/m (No. 12); the cell edges are 9.387, 2.954 and 4.624 Å and the angles 90.00°, 96.89° and 90.00°. The asymmetric unit holds Al at (0.219, 0.000, 0.227), Os at (0.000, 0.500, 0.000) and Cl at (0.000, 0.000, 0.500).

As for the total magnetization: 0.00 μB per cell. The polymorph energy (0 for the lowest one) comes out at 333 kJ/mol of formula units. For the calculated total energy, the calculation gives -0.3494 Ry/atom. The value obtained for the uncorrected formation energy is 0.386 eV/atom.

---

(10)
Below is a relaxed PrDy2NpAs4 crystal, with properties calculated at the PBE-GGA level.

The structure belongs to space group P2/m (No. 10); the cell edges are 7.204, 4.158 and 7.216 Å and the angles 90.00°, 109.35° and 90.00°. The asymmetric unit holds Pr at (0.000, 0.000, 0.000), Dy at (0.500, 0.000, 0.500), Dy at (0.500, 0.500, 0.000), Np at (0.000, 0.500, 0.500), As at (0.252, 0.000, 0.744) and As at (0.256, 0.500, 0.260).

As for the total magnetization: 3.78 μB per cell. For the calculated total energy, the calculation gives -0.5134 Ry/atom. The value obtained for the formation energy is -1295 meV per atom.

---

(11)
Below is a relaxed Tb5Dy5Y2 crystal, with properties calculated at the PBE-GGA level.

The structure belongs to space group C2/m (No. 12); the cell edges are 15.091, 5.022 and 11.243 Å and the angles 90.00°, 116.58° and 90.00°. The asymmetric unit holds Tb at (0.000, 0.000, 0.000), Tb at (0.084, 0.000, 0.750), Tb at (0.166, 0.000, 0.500), Dy at (0.000, 0.500, 0.500), Dy at (0.167, 0.500, 0.000), Dy at (0.250, 0.000, 0.250) and Y at (0.083, 0.500, 0.250).

As for the total magnetization: 0.00 μB per cell. For the calculated total energy, the calculation gives -0.3606 Ry/atom. The value obtained for the formation energy is 18 meV per atom.

---

(12)
Below is a relaxed Dy2Tm4Sc5 crystal, with properties calculated at the PBE-GGA level.

The structure belongs to space group P2/m (No. 10); the cell edges are 8.595, 3.435 and 11.143 Å and the angles 90.00°, 108.93° and 90.00°. The asymmetric unit holds Dy at (0.133, 0.000, 0.407), Tm at (0.242, 0.500, 0.719), Tm at (0.254, 0.500, 0.153), Sc at (0.089, 0.000, 0.897), Sc at (0.496, 0.000, 0.630) and Sc at (0.500, 0.000, 0.000).

As for the total magnetization: 0.49 μB per cell. The polymorph energy (0 for the lowest one) comes out at 0 kJ/mol of formula units. For the calculated total energy, the calculation gives -0.3833 Ry/atom. The value obtained for the formation energy is 126 meV per atom.

---

The lowest calculated total energy belongs to which entry?
ThTi2N4